# 1
A plane-wave DFT calculation with PBE was carried out for crystalline HfSiTe at its relaxed geometry.

Properties
Relative energy among the computed polymorphs   378 meV/atom
E_tot   -6.51 eV/atom

a b c (Å): 7.461 3.657 8.921
angles (deg): 90.00 90.00 90.00
Space group Pnma (No. 62)
Inequivalent atoms, fractional coordinates:
Hf (0.118, 0.250, 0.246) (multiplicity 4)
Si (0.086, 0.250, 0.930) (multiplicity 4)
Te (0.138, 0.250, 0.594) (multiplicity 4)

***

# 2
A plane-wave DFT calculation with PBE was carried out for crystalline Zr4Ta2Pb3C3 at its relaxed geometry.

Properties
E_tot   -8.56 eV/atom

a b c (Å): 10.034 5.790 15.205
angles (deg): 90.00 102.80 90.00
Space group C2/c (No. 15)
Inequivalent atoms, fractional coordinates:
Zr (0.112, 0.077, 0.085) (multiplicity 8)
Zr (0.218, 0.087, 0.415) (multiplicity 8)
Ta (0.062, 0.413, 0.924) (multiplicity 8)
Pb (0.000, 0.096, 0.750) (multiplicity 4)
Pb (0.161, 0.422, 0.248) (multiplicity 8)
C (0.079, 0.261, 0.500) (multiplicity 8)
C (0.250, 0.250, 0.000) (multiplicity 4)

***

# 3
A plane-wave DFT calculation with PBE was carried out for crystalline ZrSi at its relaxed geometry.

Properties
E_tot   -7.68 eV/atom

a b c (Å): 5.402 5.402 5.402
angles (deg): 90.00 90.00 90.00
Space group Fm-3m (No. 225)
Inequivalent atoms, fractional coordinates:
Zr (0.000, 0.000, 0.000) (multiplicity 4)
Si (0.000, 0.000, 0.500) (multiplicity 4)

***

# 4
A plane-wave DFT calculation with PBE was carried out for crystalline TbBMo at its relaxed geometry.

Properties
E_tot   -6.99 eV/atom

a b c (Å): 5.885 5.885 5.885
angles (deg): 90.00 90.00 90.00
Space group F-43m (No. 216)
Inequivalent atoms, fractional coordinates:
Tb (0.000, 0.000, 0.000) (multiplicity 4)
B (0.250, 0.250, 0.750) (multiplicity 4)
Mo (0.000, 0.000, 0.500) (multiplicity 4)

***

Question: Which value of E_tot does entry 2 give?
Answer: -8.56 eV/atom

***

Question: Look up the E_tot of the second one.
Answer: -8.56 eV/atom